No. 1
{
  "formula": "LiCo2CuNi",
  "functional": "PBE",
  "state": "optimized geometry",
  "e_form_ev_per_atom": 1.1361,
  "de_polymorph_mev_per_atom": 283,
  "vol_a3_per_atom": 15.1,
  "lattice": [[4.3254, 0.0000, 0.0000], [0.0000, 4.0253, 0.0000], [0.0000, 0.0000, 4.3254]],
  "species": ["Ni", "Co", "Co", "Cu", "Li"],
  "frac_coords": [[0.5000, 0.5000, 0.5000], [0.0000, 0.0000, 0.5000], [0.5000, 0.0000, 0.0000], [0.0000, 0.0000, 0.0000], [0.0000, 0.5000, 0.0000]]
}

No. 2
{
  "formula": "Er4Rh2O",
  "functional": "PBE",
  "state": "optimized geometry",
  "raw_formation_energy_ev_per_fu": -9.128,
  "vol_a3_per_atom": 21.0,
  "lattice": [[4.5059, 0.0000, 0.0000], [0.0000, 4.5059, 0.0000], [-2.2530, -2.2530, 7.2469]],
  "species": ["Rh", "Rh", "O", "Er", "Er", "Er", "Er"],
  "frac_coords": [[0.6305, 0.6305, 0.2610], [0.3695, 0.3695, 0.7390], [0.0000, 0.0000, 0.0000], [0.8163, 0.8163, 0.6326], [0.1837, 0.1837, 0.3674], [0.0000, 0.5000, 0.0000], [0.5000, 0.0000, 0.0000]]
}